{
  "formula": "Pr12Dy3Tl",
  "functional": "PBE-GGA",
  "state": "relaxed",
  "lattice": [[5.1287, 0.0000, 0.0000], [0.0000, 5.1287, 0.0000], [0.0000, 0.0000, 20.8287]],
  "species": ["Pr", "Pr", "Pr", "Pr", "Pr", "Pr", "Pr", "Pr", "Pr", "Pr", "Pr", "Pr", "Dy", "Dy", "Dy", "Tl"],
  "fractional_positions": [[0.5000, 0.5000, 0.7524], [0.5000, 0.0000, 0.8783], [0.0000, 0.5000, 0.1217], [0.5000, 0.5000, 0.2476], [0.5000, 0.0000, 0.1217], [0.0000, 0.5000, 0.3739], [0.5000, 0.0000, 0.3739], [0.5000, 0.0000, 0.6261], [0.5000, 0.5000, 0.5000], [0.0000, 0.5000, 0.8783], [0.5000, 0.5000, 0.0000], [0.0000, 0.5000, 0.6261], [0.0000, 0.0000, 0.5000], [0.0000, 0.0000, 0.2486], [0.0000, 0.0000, 0.7514], [0.0000, 0.0000, 0.0000]],
  "e_tot_ev_per_fu": -74.1,
  "sg": "P4/mmm (123)",
  "delta_e_f_mev_per_atom": -35
}

=====

{
  "formula": "Pr2Dy3Tl",
  "functional": "PBE-GGA",
  "state": "relaxed",
  "lattice": [[4.9678, 0.0000, 0.0000], [0.0000, 4.6529, -1.5732], [0.0000, 0.1378, 8.0746]],
  "species": ["Dy", "Dy", "Dy", "Pr", "Pr", "Tl"],
  "fractional_positions": [[0.5000, 0.5000, 0.0000], [0.5000, 0.8356, 0.6711], [0.5000, 0.1644, 0.3289], [0.0000, 0.3375, 0.6750], [0.0000, 0.6625, 0.3250], [0.0000, 0.0000, 0.0000]],
  "e_tot_ev_per_fu": -26.3,
  "sg": "Cmmm (65)",
  "delta_e_f_mev_per_atom": -93
}